Here is a relaxed Ho3PuNi8 crystal from the Alexandria database. Energies are from PBE.

abc: 8.746 8.746 8.746
angles: 33.58 33.58 33.58
Fractional positions:
Ho  0.000  0.000  0.000
Ho  0.126  0.126  0.126
Ho  0.623  0.623  0.623
Pu  0.498  0.498  0.498
Ni  0.060  0.562  0.562
Ni  0.061  0.061  0.564
Ni  0.061  0.564  0.061
Ni  0.312  0.312  0.312
Ni  0.562  0.060  0.562
Ni  0.562  0.562  0.060
Ni  0.564  0.061  0.061
Ni  0.812  0.812  0.812

Uncorrected energy: -79.1 eV/cell
Space group: No. 160
DOS(E_F): 20.2 states/eV per cell
DFT formation energy: -0.40 eV/atom
Total magnetization: 5.19 μB per cell